# 1
ErTi2Mn9: relaxed, PBE-GGA.

Summary:
- Energy of formation: -0.087 eV/atom
- Size of the total moment: 2.142 μB/f.u.

Lattice parameters (Å, degrees): 8.297 8.297 8.297 33.70 33.70 33.70
Atoms (fractional coordinates):
Er 0.000 0.000 0.000
Ti 0.143 0.143 0.143
Ti 0.857 0.857 0.857
Mn 0.075 0.592 0.592
Mn 0.338 0.338 0.338
Mn 0.408 0.408 0.925
Mn 0.408 0.925 0.408
Mn 0.500 0.500 0.500
Mn 0.592 0.075 0.592
Mn 0.592 0.592 0.075
Mn 0.662 0.662 0.662
Mn 0.925 0.408 0.408


# 2
Er8MnTl2: relaxed, PBE-GGA.

Summary:
- Energy of formation: -0.080 eV/atom
- Size of the total moment: 0.000 μB/f.u.

Lattice parameters (Å, degrees): 8.961 8.961 6.848 111.47 111.47 35.65
Atoms (fractional coordinates):
Er 0.010 0.010 0.273
Er 0.195 0.195 0.742
Er 0.364 0.364 0.592
Er 0.397 0.397 0.105
Er 0.603 0.603 0.895
Er 0.636 0.636 0.408
Er 0.805 0.805 0.258
Er 0.990 0.990 0.727
Mn 0.500 0.500 0.500
Tl 0.183 0.183 0.191
Tl 0.817 0.817 0.809


# 3
Er4MnTl: relaxed, PBE-GGA.

Summary:
- Energy of formation: -0.091 eV/atom
- Size of the total moment: 0.654 μB/f.u.

Lattice parameters (Å, degrees): 7.773 7.773 5.960 99.33 99.33 112.01
Atoms (fractional coordinates):
Er 0.059 0.727 0.954
Er 0.200 0.354 0.612
Er 0.273 0.941 0.546
Er 0.354 0.200 0.112
Er 0.646 0.800 0.888
Er 0.727 0.059 0.454
Er 0.800 0.646 0.388
Er 0.941 0.273 0.046
Mn 0.001 0.999 0.750
Mn 0.999 0.001 0.250
Tl 0.374 0.626 0.250
Tl 0.626 0.374 0.750


# 4
Er2TmMn: relaxed, PBE-GGA.

Summary:
- Energy of formation: 0.115 eV/atom
- Excess energy over the best structure of this formula in the dataset: 0 meV/atom
- Size of the total moment: 3.601 μB/f.u.

Lattice parameters (Å, degrees): 3.493 3.493 8.516 90.00 90.00 90.00
Atoms (fractional coordinates):
Er 0.000 0.000 0.203
Er 0.000 0.000 0.797
Tm 0.500 0.500 0.500
Mn 0.500 0.500 0.000


# 5
Er2TmMn: relaxed, PBE-GGA.

Summary:
- Energy of formation: 0.214 eV/atom
- Excess energy over the best structure of this formula in the dataset: 98 meV/atom
- Size of the total moment: 2.924 μB/f.u.

Lattice parameters (Å, degrees): 4.794 4.794 4.513 90.00 90.00 90.00
Atoms (fractional coordinates):
Er 0.000 0.500 0.000
Er 0.500 0.000 0.000
Tm 0.000 0.000 0.500
Mn 0.500 0.500 0.500


# 6
Er2TmMn: relaxed, PBE-GGA.

Summary:
- Energy of formation: 0.504 eV/atom
- Excess energy over the best structure of this formula in the dataset: 389 meV/atom
- Size of the total moment: 3.124 μB/f.u.

Lattice parameters (Å, degrees): 3.356 3.356 33.473 90.00 90.00 120.00
Atoms (fractional coordinates):
Er 0.000 0.000 0.082
Er 0.000 0.000 0.918
Er 0.333 0.667 0.584
Er 0.333 0.667 0.749
Er 0.667 0.333 0.251
Er 0.667 0.333 0.416
Tm 0.000 0.000 0.500
Tm 0.333 0.667 0.167
Tm 0.667 0.333 0.833
Mn 0.000 0.000 0.000
Mn 0.333 0.667 0.667
Mn 0.667 0.333 0.333


# 7
ErTmMn4: relaxed, PBE-GGA.

Summary:
- Energy of formation: 0.075 eV/atom
- Size of the total moment: 1.431 μB/f.u.

Lattice parameters (Å, degrees): 5.066 5.066 5.066 60.00 60.00 60.00
Atoms (fractional coordinates):
Er 0.000 0.000 0.000
Tm 0.750 0.750 0.750
Mn 0.375 0.375 0.375
Mn 0.375 0.375 0.875
Mn 0.375 0.875 0.375
Mn 0.875 0.375 0.375


# 8
ErTm2Mn: relaxed, PBE-GGA.

Summary:
- Energy of formation: 0.503 eV/atom
- Excess energy over the best structure of this formula in the dataset: 395 meV/atom
- Size of the total moment: 3.113 μB/f.u.

Lattice parameters (Å, degrees): 3.352 3.352 33.397 90.00 90.00 120.00
Atoms (fractional coordinates):
Er 0.000 0.000 0.000
Er 0.333 0.667 0.667
Er 0.667 0.333 0.333
Tm 0.000 0.000 0.418
Tm 0.000 0.000 0.582
Tm 0.333 0.667 0.085
Tm 0.333 0.667 0.249
Tm 0.667 0.333 0.751
Tm 0.667 0.333 0.915
Mn 0.000 0.000 0.500
Mn 0.333 0.667 0.167
Mn 0.667 0.333 0.833


# 9
ErTmMn2: relaxed, PBE-GGA.

Summary:
- Energy of formation: 0.174 eV/atom
- Excess energy over the best structure of this formula in the dataset: 4 meV/atom
- Size of the total moment: 6.416 μB/f.u.

Lattice parameters (Å, degrees): 4.875 4.875 3.556 90.00 90.00 90.00
Atoms (fractional coordinates):
Er 0.000 0.000 0.000
Tm 0.500 0.500 0.000
Mn 0.000 0.500 0.500
Mn 0.500 0.000 0.500


# 10
ErTm2Mn: relaxed, PBE-GGA.

Summary:
- Energy of formation: 0.107 eV/atom
- Excess energy over the best structure of this formula in the dataset: 0 meV/atom
- Size of the total moment: 3.522 μB/f.u.

Lattice parameters (Å, degrees): 3.479 3.479 8.515 90.00 90.00 90.00
Atoms (fractional coordinates):
Er 0.000 0.000 0.000
Tm 0.500 0.500 0.299
Tm 0.500 0.500 0.701
Mn 0.000 0.000 0.500


# 11
ErTmMn17: relaxed, PBE-GGA.

Summary:
- Energy of formation: 0.001 eV/atom
- Size of the total moment: 0.023 μB/f.u.

Lattice parameters (Å, degrees): 6.312 6.312 6.312 84.34 84.34 84.34
Atoms (fractional coordinates):
Er 0.000 0.000 0.000
Tm 0.310 0.310 0.310
Mn 0.008 0.008 0.509
Mn 0.008 0.509 0.008
Mn 0.155 0.654 0.654
Mn 0.302 0.302 0.800
Mn 0.302 0.800 0.302
Mn 0.382 0.655 0.928
Mn 0.382 0.928 0.655
Mn 0.509 0.008 0.008
Mn 0.555 0.555 0.555
Mn 0.654 0.155 0.654
Mn 0.654 0.654 0.155
Mn 0.655 0.382 0.928
Mn 0.655 0.928 0.382
Mn 0.754 0.754 0.754
Mn 0.800 0.302 0.302
Mn 0.928 0.382 0.655
Mn 0.928 0.655 0.382


# 12
ErTmMn2: relaxed, PBE-GGA.

Summary:
- Energy of formation: 0.170 eV/atom
- Excess energy over the best structure of this formula in the dataset: 0 meV/atom
- Size of the total moment: 6.290 μB/f.u.

Lattice parameters (Å, degrees): 6.952 6.952 6.952 90.00 90.00 90.00
Atoms (fractional coordinates):
Er 0.000 0.000 0.000
Er 0.000 0.500 0.500
Er 0.500 0.000 0.500
Er 0.500 0.500 0.000
Tm 0.000 0.000 0.500
Tm 0.000 0.500 0.000
Tm 0.500 0.000 0.000
Tm 0.500 0.500 0.500
Mn 0.250 0.250 0.250
Mn 0.250 0.250 0.750
Mn 0.250 0.750 0.250
Mn 0.250 0.750 0.750
Mn 0.750 0.250 0.250
Mn 0.750 0.250 0.750
Mn 0.750 0.750 0.250
Mn 0.750 0.750 0.750


# 13
ErTmMnZn: relaxed, PBE-GGA.

Summary:
- Energy of formation: -0.059 eV/atom
- Size of the total moment: 2.776 μB/f.u.

Lattice parameters (Å, degrees): 6.996 6.996 6.996 90.00 90.00 90.00
Atoms (fractional coordinates):
Er 0.000 0.000 0.000
Er 0.000 0.500 0.500
Er 0.500 0.000 0.500
Er 0.500 0.500 0.000
Tm 0.000 0.000 0.500
Tm 0.000 0.500 0.000
Tm 0.500 0.000 0.000
Tm 0.500 0.500 0.500
Mn 0.250 0.250 0.750
Mn 0.250 0.750 0.250
Mn 0.750 0.250 0.250
Mn 0.750 0.750 0.750
Zn 0.250 0.250 0.250
Zn 0.250 0.750 0.750
Zn 0.750 0.250 0.750
Zn 0.750 0.750 0.250


# 14
ErUMn4: relaxed, PBE-GGA.

Summary:
- Energy of formation: 0.116 eV/atom
- Size of the total moment: 5.501 μB/f.u.

Lattice parameters (Å, degrees): 5.085 5.085 5.085 60.00 60.00 60.00
Atoms (fractional coordinates):
Er 0.000 0.000 0.000
U 0.750 0.750 0.750
Mn 0.376 0.376 0.376
Mn 0.376 0.376 0.872
Mn 0.376 0.872 0.376
Mn 0.872 0.376 0.376


# 15
Er2UMn2: relaxed, PBE-GGA.

Summary:
- Energy of formation: -0.047 eV/atom
- Size of the total moment: 0.000 μB/f.u.

Lattice parameters (Å, degrees): 6.004 6.004 6.873 102.76 102.76 61.54
Atoms (fractional coordinates):
Er 0.049 0.258 0.134
Er 0.258 0.049 0.634
Er 0.742 0.951 0.366
Er 0.951 0.742 0.866
U 0.487 0.513 0.250
U 0.513 0.487 0.750
Mn 0.207 0.504 0.510
Mn 0.496 0.793 0.990
Mn 0.504 0.207 0.010
Mn 0.793 0.496 0.490


# 16
ErU2Mn9: relaxed, PBE-GGA.

Summary:
- Energy of formation: 0.046 eV/atom
- Size of the total moment: 4.424 μB/f.u.

Lattice parameters (Å, degrees): 8.247 8.247 5.078 90.00 90.00 90.00
Atoms (fractional coordinates):
Er 0.000 0.000 0.000
Er 0.500 0.500 0.000
U 0.112 0.388 0.000
U 0.388 0.888 0.000
U 0.612 0.112 0.000
U 0.888 0.612 0.000
Mn 0.000 0.500 0.500
Mn 0.068 0.207 0.500
Mn 0.185 0.685 0.248
Mn 0.185 0.685 0.752
Mn 0.207 0.932 0.500
Mn 0.293 0.432 0.500
Mn 0.315 0.185 0.248
Mn 0.315 0.185 0.752
Mn 0.432 0.707 0.500
Mn 0.500 0.000 0.500
Mn 0.568 0.293 0.500
Mn 0.685 0.815 0.248
Mn 0.685 0.815 0.752
Mn 0.707 0.568 0.500
Mn 0.793 0.068 0.500
Mn 0.815 0.315 0.248
Mn 0.815 0.315 0.752
Mn 0.932 0.793 0.500


# 17
Er3U2Mn4: relaxed, PBE-GGA.

Summary:
- Energy of formation: -0.061 eV/atom
- Size of the total moment: 0.000 μB/f.u.

Lattice parameters (Å, degrees): 5.744 5.744 8.405 102.50 102.50 40.72
Atoms (fractional coordinates):
Er 0.000 0.000 0.000
Er 0.375 0.375 0.621
Er 0.625 0.625 0.379
U 0.324 0.324 0.225
U 0.676 0.676 0.775
Mn 0.090 0.090 0.642
Mn 0.262 0.262 0.907
Mn 0.738 0.738 0.093
Mn 0.910 0.910 0.358


# 18
ErUMn5: relaxed, PBE-GGA.

Summary:
- Energy of formation: 0.042 eV/atom
- Size of the total moment: 3.208 μB/f.u.

Lattice parameters (Å, degrees): 8.059 5.200 10.215 90.00 90.00 90.00
Atoms (fractional coordinates):
Er 0.236 0.250 0.068
Er 0.264 0.750 0.568
Er 0.736 0.250 0.432
Er 0.764 0.750 0.932
U 0.126 0.250 0.391
U 0.374 0.750 0.891
U 0.626 0.250 0.109
U 0.874 0.750 0.609
Mn 0.083 0.250 0.595
Mn 0.083 0.507 0.808
Mn 0.083 0.993 0.808
Mn 0.087 0.750 0.026
Mn 0.169 0.750 0.249
Mn 0.331 0.250 0.749
Mn 0.413 0.250 0.526
Mn 0.417 0.007 0.308
Mn 0.417 0.493 0.308
Mn 0.417 0.750 0.095
Mn 0.583 0.250 0.905
Mn 0.583 0.507 0.692
Mn 0.583 0.993 0.692
Mn 0.587 0.750 0.474
Mn 0.669 0.750 0.251
Mn 0.831 0.250 0.751
Mn 0.913 0.250 0.974
Mn 0.917 0.007 0.192
Mn 0.917 0.493 0.192
Mn 0.917 0.750 0.405


# 19
ErUMn: relaxed, PBE-GGA.

Summary:
- Energy of formation: 0.434 eV/atom
- Size of the total moment: 0.656 μB/f.u.

Lattice parameters (Å, degrees): 6.299 6.299 6.299 48.44 48.44 48.44
Atoms (fractional coordinates):
Er 0.113 0.113 0.113
Er 0.887 0.887 0.887
U 0.425 0.425 0.425
U 0.575 0.575 0.575
Mn 0.301 0.301 0.301
Mn 0.699 0.699 0.699


# 20
ErU2Mn2: relaxed, PBE-GGA.

Summary:
- Energy of formation: 0.203 eV/atom
- Size of the total moment: 0.000 μB/f.u.

Lattice parameters (Å, degrees): 5.808 5.808 9.270 90.00 90.00 140.72
Atoms (fractional coordinates):
Er 0.083 0.917 0.750
Er 0.917 0.083 0.250
U 0.326 0.674 0.517
U 0.326 0.674 0.983
U 0.674 0.326 0.017
U 0.674 0.326 0.483
Mn 0.210 0.790 0.250
Mn 0.402 0.598 0.750
Mn 0.598 0.402 0.250
Mn 0.790 0.210 0.750


# 21
ErMn2V: relaxed, PBE-GGA.

Summary:
- Energy of formation: 0.439 eV/atom
- Size of the total moment: 3.568 μB/f.u.

Lattice parameters (Å, degrees): 3.037 3.037 24.872 90.00 90.00 120.00
Atoms (fractional coordinates):
Er 0.000 0.000 0.000
Er 0.333 0.667 0.667
Er 0.667 0.333 0.333
Mn 0.000 0.000 0.237
Mn 0.000 0.000 0.763
Mn 0.333 0.667 0.430
Mn 0.333 0.667 0.904
Mn 0.667 0.333 0.096
Mn 0.667 0.333 0.570
V 0.000 0.000 0.500
V 0.333 0.667 0.167
V 0.667 0.333 0.833


# 22
Er2Mn16V: relaxed, PBE-GGA.

Summary:
- Energy of formation: -0.018 eV/atom
- Size of the total moment: 6.089 μB/f.u.

Lattice parameters (Å, degrees): 6.316 6.316 6.316 86.22 86.22 86.22
Atoms (fractional coordinates):
Er 0.000 0.000 0.000
Er 0.293 0.293 0.293
Mn 0.005 0.005 0.521
Mn 0.005 0.521 0.005
Mn 0.146 0.647 0.647
Mn 0.289 0.289 0.771
Mn 0.289 0.771 0.289
Mn 0.369 0.645 0.923
Mn 0.369 0.923 0.645
Mn 0.521 0.005 0.005
Mn 0.544 0.544 0.544
Mn 0.645 0.369 0.923
Mn 0.645 0.923 0.369
Mn 0.647 0.146 0.647
Mn 0.647 0.647 0.146
Mn 0.771 0.289 0.289
Mn 0.923 0.369 0.645
Mn 0.923 0.645 0.369
V 0.742 0.742 0.742


# 23
ErMn4V: relaxed, PBE-GGA.

Summary:
- Energy of formation: 0.074 eV/atom
- Size of the total moment: 2.989 μB/f.u.

Lattice parameters (Å, degrees): 4.906 4.906 4.906 60.00 60.00 60.00
Atoms (fractional coordinates):
Er 0.000 0.000 0.000
Mn 0.376 0.376 0.376
Mn 0.376 0.376 0.873
Mn 0.376 0.873 0.376
Mn 0.873 0.376 0.376
V 0.750 0.750 0.750